Material: Nb2I2O
Method: DFT, PBE
State: relaxed

```
Nb2I2O
1.0
5.939 0.000 0.000
0.000 5.939 0.000
0.000 0.000 8.077
Nb I O
4 4 2
direct
0.000 0.000 0.236
0.000 0.000 0.764
0.500 0.500 0.264
0.500 0.500 0.736
0.000 0.500 0.250
0.000 0.500 0.750
0.500 0.000 0.250
0.500 0.000 0.750
0.000 0.000 0.000
0.500 0.500 0.500
```

## Properties
- VASP energy: -28.218 eV per formula unit
- Formation energy from raw total energies: -0.004 eV per atom
- Total magnetization: 1.05 μB per atom
- N(E_F): 3.08 states/eV/f.u.

Material: NbIO2
Method: DFT, PBE
State: relaxed

```
NbIO2
1.0
3.154 0.000 0.000
-1.577 2.732 0.000
0.000 0.000 23.624
Nb I O
3 3 6
direct
0.000 0.000 0.000
0.333 0.667 0.667
0.667 0.333 0.333
0.000 0.000 0.500
0.333 0.667 0.167
0.667 0.333 0.833
0.000 0.000 0.080
0.000 0.000 0.920
0.333 0.667 0.587
0.333 0.667 0.746
0.667 0.333 0.254
0.667 0.333 0.413
```

## Properties
- VASP energy: -22.236 eV per formula unit
- Formation energy from raw total energies: -0.175 eV per atom
- Total magnetization: 0.00 μB per atom
- N(E_F): 4.51 states/eV/f.u.

Material: NbIO3
Method: DFT, PBE
State: relaxed

```
NbIO3
1.0
4.204 0.000 0.000
0.000 4.204 0.000
0.000 0.000 4.204
Nb I O
1 1 3
direct
0.000 0.000 0.000
0.500 0.500 0.500
0.000 0.500 0.500
0.500 0.000 0.500
0.500 0.500 0.000
```

## Properties
- VASP energy: -24.009 eV per formula unit
- Formation energy from raw total energies: 0.497 eV per atom
- Total magnetization: 0.66 μB per atom
- N(E_F): 4.68 states/eV/f.u.

Material: NbI2O
Method: DFT, PBE
State: relaxed

```
NbI2O
1.0
6.886 0.000 0.000
0.000 6.886 0.000
0.000 0.000 6.886
Nb I O
4 8 4
direct
0.000 0.000 0.000
0.000 0.500 0.500
0.500 0.000 0.500
0.500 0.500 0.000
0.250 0.250 0.250
0.250 0.250 0.750
0.250 0.750 0.250
0.250 0.750 0.750
0.750 0.250 0.250
0.750 0.250 0.750
0.750 0.750 0.250
0.750 0.750 0.750
0.000 0.000 0.500
0.000 0.500 0.000
0.500 0.000 0.000
0.500 0.500 0.500
```

## Properties
- VASP energy: -16.518 eV per formula unit
- Formation energy from raw total energies: 0.403 eV per atom
- Total magnetization: 0.25 μB per atom
- N(E_F): 4.34 states/eV/f.u.

Material: NbIO2
Method: DFT, PBE
State: relaxed

```
NbIO2
1.0
3.186 0.000 0.000
-1.593 2.759 0.000
0.000 0.000 26.789
Nb I O
3 3 6
direct
0.000 0.000 0.000
0.333 0.667 0.667
0.667 0.333 0.333
0.000 0.000 0.500
0.333 0.667 0.167
0.667 0.333 0.833
0.000 0.000 0.371
0.000 0.000 0.629
0.333 0.667 0.038
0.333 0.667 0.295
0.667 0.333 0.705
0.667 0.333 0.962
```

## Properties
- VASP energy: -27.546 eV per formula unit
- Formation energy from raw total energies: -1.502 eV per atom
- Total magnetization: 0.23 μB per atom
- N(E_F): 1.56 states/eV/f.u.

Material: NbI2O
Method: DFT, PBE
State: relaxed

```
NbI2O
1.0
6.631 0.000 0.000
0.000 6.631 0.000
0.000 0.000 9.920
Nb I O
4 8 4
direct
0.000 0.000 0.000
0.000 0.500 0.250
0.500 0.000 0.750
0.500 0.500 0.500
0.237 0.250 0.625
0.250 0.737 0.875
0.250 0.763 0.375
0.263 0.250 0.125
0.737 0.750 0.125
0.750 0.237 0.375
0.750 0.263 0.875
0.763 0.750 0.625
0.000 0.000 0.500
0.000 0.500 0.750
0.500 0.000 0.250
0.500 0.500 0.000
```

## Properties
- VASP energy: -16.145 eV per formula unit
- Formation energy from raw total energies: 0.496 eV per atom
- Total magnetization: 0.25 μB per atom
- N(E_F): 1.15 states/eV/f.u.

Material: Nb3I7O
Method: DFT, PBE
State: relaxed

```
Nb3I7O
1.0
6.573 -3.793 0.000
6.573 3.793 0.000
-6.480 0.000 7.275
Nb I O
3 7 1
direct
0.000 0.000 0.000
0.626 0.999 0.999
0.999 0.626 0.999
0.266 0.266 0.775
0.269 0.758 0.778
0.302 0.302 0.189
0.341 0.833 0.259
0.758 0.269 0.778
0.833 0.341 0.259
0.834 0.834 0.259
0.786 0.786 0.819
```

## Properties
- VASP energy: -53.658 eV per formula unit
- Formation energy from raw total energies: -0.695 eV per atom
- Total magnetization: 0.00 μB per atom

Material: NbIO2
Method: DFT, PBE
State: relaxed

```
NbIO2
1.0
21.660 0.000 0.000
0.000 3.812 0.000
0.000 0.000 4.004
Nb I O
4 4 8
direct
0.065 0.250 0.049
0.435 0.750 0.549
0.565 0.250 0.451
0.935 0.750 0.951
0.171 0.750 0.995
0.329 0.250 0.495
0.671 0.750 0.505
0.829 0.250 0.005
0.031 0.750 0.994
0.072 0.250 0.501
0.428 0.750 0.001
0.469 0.250 0.494
0.531 0.750 0.506
0.572 0.250 0.999
0.928 0.750 0.499
0.969 0.250 0.006
```

## Properties
- VASP energy: -29.190 eV per formula unit
- Formation energy from raw total energies: -1.913 eV per atom
- Total magnetization: 0.00 μB per atom
- N(E_F): 0.00 states/eV/f.u.

Material: NbIO2
Method: DFT, PBE
State: relaxed

```
NbIO2
1.0
5.972 0.000 0.000
0.000 5.972 0.000
0.000 0.000 5.972
Nb I O
4 4 8
direct
0.000 0.000 0.000
0.000 0.500 0.500
0.500 0.000 0.500
0.500 0.500 0.000
0.000 0.000 0.500
0.000 0.500 0.000
0.500 0.000 0.000
0.500 0.500 0.500
0.250 0.250 0.250
0.250 0.250 0.750
0.250 0.750 0.250
0.250 0.750 0.750
0.750 0.250 0.250
0.750 0.250 0.750
0.750 0.750 0.250
0.750 0.750 0.750
```

## Properties
- VASP energy: -22.094 eV per formula unit
- Formation energy from raw total energies: -0.139 eV per atom
- Total magnetization: 0.00 μB per atom
- N(E_F): 2.23 states/eV/f.u.

Material: NbIO3
Method: DFT, PBE
State: relaxed

```
NbIO3
1.0
4.102 0.000 0.000
0.000 4.102 0.000
0.000 0.000 4.102
Nb I O
1 1 3
direct
0.000 0.000 0.000
0.500 0.500 0.500
0.000 0.000 0.500
0.000 0.500 0.000
0.500 0.000 0.000
```

## Properties
- VASP energy: -32.405 eV per formula unit
- Formation energy from raw total energies: -1.182 eV per atom
- Total magnetization: 0.35 μB per atom
- N(E_F): 2.78 states/eV/f.u.

Material: Nb3I7O
Method: DFT, PBE
State: relaxed

```
Nb3I7O
1.0
7.586 0.000 0.000
-3.793 6.570 0.000
0.000 0.000 7.414
Nb I O
3 7 1
direct
0.084 0.542 0.000
0.458 0.542 0.000
0.458 0.916 0.000
0.164 0.328 0.745
0.164 0.836 0.745
0.327 0.164 0.218
0.667 0.333 0.814
0.672 0.836 0.745
0.836 0.164 0.218
0.836 0.673 0.218
0.333 0.667 0.176
```

## Properties
- VASP energy: -53.640 eV per formula unit
- Formation energy from raw total energies: -0.693 eV per atom
- Total magnetization: 0.00 μB per atom
- N(E_F): 0.13 states/eV/f.u.

Material: NbI2O8
Method: DFT, PBE
State: relaxed

```
NbI2O8
1.0
6.586 -2.877 0.000
6.586 2.877 0.000
-0.211 0.000 5.645
Nb I O
1 2 8
direct
0.000 0.000 0.000
0.140 0.140 0.445
0.860 0.860 0.555
0.123 0.123 0.800
0.155 0.699 0.771
0.274 0.274 0.393
0.301 0.845 0.229
0.699 0.155 0.771
0.726 0.726 0.607
0.845 0.301 0.229
0.877 0.877 0.200
```

## Properties
- VASP energy: -59.471 eV per formula unit
- Formation energy from raw total energies: -0.603 eV per atom
- Total magnetization: 0.00 μB per atom
- N(E_F): 3.64 states/eV/f.u.